A plane-wave DFT calculation with PBE with a Hubbard U was carried out for an optimized crystal structure of Sm6MoO12.

Computed properties:
As for the space group: R-3 (148). Its energy is -154.1 eV for the cell shown.

```
Sm6MoO12
1.0
5.0305 2.9044 3.2170
-5.0305 2.9044 3.2170
0.0000 -5.8087 3.2170
Sm Mo O
6 1 12
Direct
0.1122 0.6443 0.8117 Sm
0.1883 0.8878 0.3557 Sm
0.3557 0.1883 0.8878 Sm
0.6443 0.8117 0.1122 Sm
0.8117 0.1122 0.6443 Sm
0.8878 0.3557 0.1883 Sm
0.5000 0.5000 0.5000 Mo
0.0629 0.3227 0.9083 O
0.0917 0.9371 0.6773 O
0.2086 0.5326 0.4284 O
0.3227 0.9083 0.0629 O
0.4284 0.2086 0.5326 O
0.4674 0.5716 0.7914 O
0.5326 0.4284 0.2086 O
0.5716 0.7914 0.4674 O
0.6773 0.0917 0.9371 O
0.7914 0.4674 0.5716 O
0.9083 0.0629 0.3227 O
0.9371 0.6773 0.0917 O
```